No. 1
A crystal of Nd2Pd2Pb relaxed with PBEsol, computed with meta-GGA SCAN.

Unit cell a=7.8326 b=7.8326 c=3.7939 alpha=90.00 beta=90.00 gamma=90.00
Closest atoms and distances in Å follow each position.
Sites, in units of the cell vectors:
Nd  0.1759  0.3241  0.0000  6 Pd 2.92-3.05
Nd  0.3241  0.8241  0.0000  6 Pd 2.92-3.05
Nd  0.6759  0.1759  0.0000  6 Pd 2.92-3.05
Nd  0.8241  0.6759  0.0000  6 Pd 2.92-3.05
Pd  0.1240  0.6240  0.5000  1 Pd 2.75, 6 Nd 2.92-3.05
Pd  0.3760  0.1240  0.5000  1 Pd 2.75, 6 Nd 2.92-3.05
Pd  0.6240  0.8760  0.5000  1 Pd 2.75, 6 Nd 2.92-3.05
Pd  0.8760  0.3760  0.5000  1 Pd 2.75, 6 Nd 2.92-3.05
Pb  0.0000  0.0000  0.5000  4 Pd 3.10, 8 Nd 3.46
Pb  0.5000  0.5000  0.5000  4 Pd 3.10, 8 Nd 3.46

Calculated formation energy   -0.93 eV per atom
Space group   P4/mbm, No. 127



No. 2
A crystal of NbAs2O relaxed with PBEsol, computed with meta-GGA SCAN.

Unit cell a=5.4504 b=5.4504 c=5.4504 alpha=111.07 beta=111.07 gamma=106.31
Closest atoms and distances in Å follow each position.
Sites, in units of the cell vectors:
Nb  0.0000  0.0000  0.0000  4 As 2.65
Nb  0.7500  0.2500  0.5000  4 As 2.65
As  0.1979  0.1250  0.5729  2 O 2.06
As  0.3750  0.8021  0.9271  2 O 2.06
As  0.5521  0.6250  0.4271  2 O 2.06
As  0.8750  0.4479  0.0729  2 O 2.06
O  0.2500  0.7500  0.5000  4 As 2.06
O  0.5000  0.5000  0.0000  4 As 2.06

Space group   I-42d, No. 122
ΔE_f (raw)   0.11 eV per atom



No. 3
A crystal of RbSi2BPd relaxed with PBEsol, computed with meta-GGA SCAN.

Unit cell a=4.5759 b=4.5759 c=6.0361 alpha=90.00 beta=90.00 gamma=90.00
Closest atoms and distances in Å follow each position.
Sites, in units of the cell vectors:
Rb  0.0000  0.0000  0.0000  2 Pd 3.02, 4 B 3.24
Si  0.0000  0.5000  0.5000  2 Pd 2.29
Si  0.5000  0.0000  0.5000  2 Pd 2.29
B  0.5000  0.5000  0.0000  4 Rb 3.24
Pd  0.0000  0.0000  0.5000  4 Si 2.29

Space group   P4/mmm, No. 123
ΔE_f (raw)   1.21 eV per atom



No. 4
A crystal of AlAg3 relaxed with PBEsol, computed with meta-GGA SCAN.

Unit cell a=4.7930 b=2.9468 c=9.4839 alpha=90.00 beta=104.35 gamma=90.00
Closest atoms and distances in Å follow each position.
Sites, in units of the cell vectors:
Al  0.1409  0.0000  0.3621  9 Ag 2.70-2.86, 2 Al 2.95
Al  0.8591  0.0000  0.6379  9 Ag 2.70-2.86, 2 Al 2.95
Ag  0.1146  0.5000  0.8724  2 Al 2.70, 10 Ag 2.80-2.95
Ag  0.3378  0.5000  0.6091  6 Al 2.73-2.86, 6 Ag 2.88-2.95
Ag  0.3886  0.0000  0.1296  1 Al 2.75, 11 Ag 2.80-2.95
Ag  0.6114  0.0000  0.8704  1 Al 2.75, 11 Ag 2.80-2.95
Ag  0.6622  0.5000  0.3909  6 Al 2.73-2.86, 6 Ag 2.88-2.95
Ag  0.8854  0.5000  0.1276  2 Al 2.70, 10 Ag 2.80-2.95

Calculated formation energy   -0.07 eV per atom
Space group   P2/m, No. 10